Pa2CdPb: optimized geometry, GGA-PBE.

CIF file:
```
data_Pa2CdPb
_symmetry_space_group_name_H-M 'P 4/m m m'
_symmetry_Int_Tables_number 123
_symmetry_space_group_name_Hall '-P 4 2'
_cell_length_a 4.4324
_cell_length_b 4.4324
_cell_length_c 5.1102
_cell_angle_alpha 90.00
_cell_angle_beta 90.00
_cell_angle_gamma 90.00
loop_
_atom_site_label
_atom_site_type_symbol
_atom_site_fract_x
_atom_site_fract_y
_atom_site_fract_z
Pa1 Pa 0.0000 0.5000 0.0000
Cd1 Cd 0.0000 0.0000 0.5000
Pb1 Pb 0.5000 0.5000 0.5000
```

## Properties
Energy relative to the elements: 0.125 eV/atom
Crystal system: tetragonal
Polymorph energy (0 for the lowest one): 0 meV per atom

***

TbPm7Pr2: optimized geometry, GGA-PBE.

CIF file:
```
data_TbPm7Pr2
_symmetry_space_group_name_H-M 'C m m m'
_symmetry_Int_Tables_number 65
_symmetry_space_group_name_Hall '-C 2 2'
_cell_length_a 12.0371
_cell_length_b 16.9063
_cell_length_c 3.5673
_cell_angle_alpha 90.00
_cell_angle_beta 90.00
_cell_angle_gamma 90.00
loop_
_atom_site_label
_atom_site_type_symbol
_atom_site_fract_x
_atom_site_fract_y
_atom_site_fract_z
Tb1 Tb 0.0000 0.0000 0.0000
Pm1 Pm 0.0000 0.3255 0.0000
Pm2 Pm 0.0000 0.5000 0.5000
Pm3 Pm 0.2449 0.3745 0.5000
Pr1 Pr 0.0000 0.1714 0.5000
```

## Properties
Energy relative to the elements: 0.379 eV/atom
Crystal system: orthorhombic
Polymorph energy (0 for the lowest one): 232 meV per atom

***

Tm3ThIn4: optimized geometry, GGA-PBE.

CIF file:
```
data_Tm3ThIn4
_symmetry_space_group_name_H-M 'P m m a'
_symmetry_Int_Tables_number 51
_symmetry_space_group_name_Hall '-P 2a 2a'
_cell_length_a 10.7378
_cell_length_b 7.1471
_cell_length_c 5.5400
_cell_angle_alpha 90.00
_cell_angle_beta 90.00
_cell_angle_gamma 90.00
loop_
_atom_site_label
_atom_site_type_symbol
_atom_site_fract_x
_atom_site_fract_y
_atom_site_fract_z
Tm1 Tm 0.0000 0.0000 0.0000
Tm2 Tm 0.2500 0.0000 0.4035
Tm3 Tm 0.2500 0.5000 0.4165
Th1 Th 0.0000 0.5000 0.0000
In1 In 0.0000 0.2362 0.5000
In2 In 0.2500 0.2366 0.9010
```

## Properties
Energy relative to the elements: -0.369 eV/atom
Crystal system: orthorhombic

***

Ca2MgNi: optimized geometry, GGA-PBE.

CIF file:
```
data_Ca2MgNi
_symmetry_space_group_name_H-M 'P m m 2'
_symmetry_Int_Tables_number 25
_symmetry_space_group_name_Hall 'P 2 -2'
_cell_length_a 3.4536
_cell_length_b 3.5057
_cell_length_c 8.5171
_cell_angle_alpha 90.00
_cell_angle_beta 90.00
_cell_angle_gamma 90.00
loop_
_atom_site_label
_atom_site_type_symbol
_atom_site_fract_x
_atom_site_fract_y
_atom_site_fract_z
Ca1 Ca 0.0000 0.0000 0.0000
Ca2 Ca 0.5000 0.5000 0.3733
Mg1 Mg 0.0000 0.0000 0.6481
Ni1 Ni 0.5000 0.5000 0.7820
```

## Properties
Energy relative to the elements: -0.007 eV/atom
Crystal system: orthorhombic

***

Zn3AgAu4: optimized geometry, GGA-PBE.

CIF file:
```
data_Zn3AgAu4
_symmetry_space_group_name_H-M 'P m m a'
_symmetry_Int_Tables_number 51
_symmetry_space_group_name_Hall '-P 2a 2a'
_cell_length_a 8.8579
_cell_length_b 6.8013
_cell_length_c 4.4299
_cell_angle_alpha 90.00
_cell_angle_beta 90.00
_cell_angle_gamma 90.00
loop_
_atom_site_label
_atom_site_type_symbol
_atom_site_fract_x
_atom_site_fract_y
_atom_site_fract_z
Zn1 Zn 0.0000 0.0000 0.0000
Zn2 Zn 0.2500 0.0000 0.4990
Zn3 Zn 0.2500 0.5000 0.4993
Ag1 Ag 0.0000 0.5000 0.0000
Au1 Au 0.0000 0.2363 0.5000
Au2 Au 0.2500 0.2362 0.9988
```

## Properties
Energy relative to the elements: -0.162 eV/atom
Crystal system: orthorhombic
Polymorph energy (0 for the lowest one): 2 meV per atom

***

La3PrO4: optimized geometry, GGA-PBE.

CIF file:
```
data_La3PrO4
_symmetry_space_group_name_H-M 'P m -3 m'
_symmetry_Int_Tables_number 221
_symmetry_space_group_name_Hall '-P 4 2 3'
_cell_length_a 5.1459
_cell_length_b 5.1459
_cell_length_c 5.1459
_cell_angle_alpha 90.00
_cell_angle_beta 90.00
_cell_angle_gamma 90.00
loop_
_atom_site_label
_atom_site_type_symbol
_atom_site_fract_x
_atom_site_fract_y
_atom_site_fract_z
La1 La 0.0000 0.0000 0.5000
Pr1 Pr 0.5000 0.5000 0.5000
O1 O 0.0000 0.0000 0.0000
O2 O 0.0000 0.5000 0.5000
```

## Properties
Crystal system: cubic
Formation energy without anion corrections: -2.81 eV per atom
Polymorph energy (0 for the lowest one): 16 meV per atom

***

LiScTlPt: optimized geometry, GGA-PBE.

CIF file:
```
data_LiScTlPt
_symmetry_space_group_name_H-M 'F -4 3 m'
_symmetry_Int_Tables_number 216
_symmetry_space_group_name_Hall 'F -4 2 3'
_cell_length_a 6.6162
_cell_length_b 6.6162
_cell_length_c 6.6162
_cell_angle_alpha 90.00
_cell_angle_beta 90.00
_cell_angle_gamma 90.00
loop_
_atom_site_label
_atom_site_type_symbol
_atom_site_fract_x
_atom_site_fract_y
_atom_site_fract_z
Li1 Li 0.0000 0.0000 0.0000
Sc1 Sc 0.2500 0.2500 0.2500
Tl1 Tl 0.2500 0.2500 0.7500
Pt1 Pt 0.0000 0.0000 0.5000
```

## Properties
Energy relative to the elements: -0.612 eV/atom
Crystal system: cubic

***

CaNbSb: optimized geometry, GGA-PBE.

CIF file:
```
data_CaNbSb
_symmetry_space_group_name_H-M 'C 1 2/m 1'
_symmetry_Int_Tables_number 12
_symmetry_space_group_name_Hall '-C 2y'
_cell_length_a 10.9739
_cell_length_b 3.8488
_cell_length_c 8.2899
_cell_angle_alpha 90.00
_cell_angle_beta 119.11
_cell_angle_gamma 90.00
loop_
_atom_site_label
_atom_site_type_symbol
_atom_site_fract_x
_atom_site_fract_y
_atom_site_fract_z
Ca1 Ca 0.0664 0.0000 0.3390
Nb1 Nb 0.1341 0.5000 0.0330
Sb1 Sb 0.1808 0.5000 0.7204
```

## Properties
Crystal system: monoclinic
Formation energy without anion corrections: -0.25 eV per atom

***

Ac2PrMo2N6: optimized geometry, GGA-PBE.

CIF file:
```
data_Ac2PrMo2N6
_symmetry_space_group_name_H-M 'R -3 m'
_symmetry_Int_Tables_number 166
_symmetry_space_group_name_Hall '-R 3 2"'
_cell_length_a 5.9426
_cell_length_b 5.9426
_cell_length_c 19.3546
_cell_angle_alpha 90.00
_cell_angle_beta 90.00
_cell_angle_gamma 120.00
loop_
_atom_site_label
_atom_site_type_symbol
_atom_site_fract_x
_atom_site_fract_y
_atom_site_fract_z
Ac1 Ac 0.0000 0.0000 0.2046
Pr1 Pr 0.0000 0.0000 0.0000
Mo1 Mo 0.0000 0.0000 0.4018
N1 N 0.0042 0.5021 0.7642
```

## Properties
Crystal system: trigonal
Formation energy without anion corrections: -0.79 eV per atom

***

TeC3Se: optimized geometry, GGA-PBE.

CIF file:
```
data_TeC3Se
_symmetry_space_group_name_H-M 'P m -3 m'
_symmetry_Int_Tables_number 221
_symmetry_space_group_name_Hall '-P 4 2 3'
_cell_length_a 4.1960
_cell_length_b 4.1960
_cell_length_c 4.1960
_cell_angle_alpha 90.00
_cell_angle_beta 90.00
_cell_angle_gamma 90.00
loop_
_atom_site_label
_atom_site_type_symbol
_atom_site_fract_x
_atom_site_fract_y
_atom_site_fract_z
Te1 Te 0.0000 0.0000 0.0000
C1 C 0.0000 0.0000 0.5000
Se1 Se 0.5000 0.5000 0.5000
```

## Properties
Crystal system: cubic
Formation energy without anion corrections: 3.06 eV per atom
Polymorph energy (0 for the lowest one): 279 meV per atom

***

Ti2SnF8: optimized geometry, GGA-PBE.

CIF file:
```
data_Ti2SnF8
_symmetry_space_group_name_H-M 'C 1 2/m 1'
_symmetry_Int_Tables_number 12
_symmetry_space_group_name_Hall '-C 2y'
_cell_length_a 10.5682
_cell_length_b 6.5822
_cell_length_c 5.2147
_cell_angle_alpha 90.00
_cell_angle_beta 104.76
_cell_angle_gamma 90.00
loop_
_atom_site_label
_atom_site_type_symbol
_atom_site_fract_x
_atom_site_fract_y
_atom_site_fract_z
Ti1 Ti 0.2368 0.0000 0.4545
Sn1 Sn 0.0000 0.0000 0.0000
F1 F 0.1219 0.0000 0.6856
F2 F 0.1546 0.2871 0.3264
F3 F 0.1731 0.5000 0.7952
```

## Properties
Crystal system: monoclinic
Formation energy without anion corrections: -2.92 eV per atom

***

Dy2Pa2S7: optimized geometry, GGA-PBE.

CIF file:
```
data_Dy2Pa2S7
_symmetry_space_group_name_H-M 'P -4 m 2'
_symmetry_Int_Tables_number 115
_symmetry_space_group_name_Hall 'P -4 -2'
_cell_length_a 4.5987
_cell_length_b 4.5987
_cell_length_c 12.9748
_cell_angle_alpha 90.00
_cell_angle_beta 90.00
_cell_angle_gamma 90.00
loop_
_atom_site_label
_atom_site_type_symbol
_atom_site_fract_x
_atom_site_fract_y
_atom_site_fract_z
Dy1 Dy 0.0000 0.5000 0.1380
Pa1 Pa 0.0000 0.5000 0.6250
S1 S 0.0000 0.0000 0.2372
S2 S 0.0000 0.0000 0.5000
S3 S 0.5000 0.5000 0.0000
S4 S 0.5000 0.5000 0.2571
S5 S 0.5000 0.5000 0.5000
```

## Properties
Crystal system: tetragonal
Formation energy without anion corrections: -1.71 eV per atom
Polymorph energy (0 for the lowest one): 111 meV per atom

***

Calculated total magnetization (μB/cell), listed in the same order as above: 1.16 0.00 0.00 0.00 0.00 0.00 0.00 1.96 0.00 0.00 0.00 1.97